{
  "formula": "Sc2As2O",
  "functional": "PBE",
  "state": "relaxed",
  "cell": [[-0.064, -1.625, 3.231], [2.259, -2.542, -1.234], [6.512, 1.743, 3.030]],
  "species": ["Sc", "Sc", "As", "As", "O"],
  "fractional_positions": [[0.399, 0.399, 0.202], [0.601, 0.601, 0.798], [0.750, 0.250, 0.500], [0.250, 0.750, 0.500], [0.000, 0.000, 0.000]],
  "m_tot_mub_per_fu": 0.654,
  "raw_formation_energy_ev_per_atom": -0.736,
  "vol_a3_per_fu": 90.7
}